V2CoO: relaxed, PBE with a Hubbard U.

The structure in POSCAR format:
```
V2CoO
1.0
-4.087 -4.738 0.796
4.389 -4.108 -1.910
1.118 -4.761 2.391
Co V O
2 4 2
Cartesian
0.000 0.000 0.000 Co
-1.409 -6.961 1.315 Co
2.131 -4.792 -0.422 V
1.361 -7.271 1.198 V
-1.345 -4.223 0.782 V
0.693 -10.927 0.997 V
0.151 -4.423 -0.557 O
2.829 -6.646 -0.038 O
```

calculated density	4.729	g/cm3
space-group type	No. 122
calculated volume	15.52	Å³/atom
calculated total energy	-6.0361	eV/atom